Entry 1:
Below is an optimized crystal structure of Fe11Pt9Rh4, with properties calculated at the GGA-PBE level.

* density: 13.66 g cm⁻³
* total magnetization: 37.19 μB/f.u.
* formation energy from the elements: -0.131 eV/atom

Unit cell a=15.156 b=16.357 c=2.728 alpha=90.00 beta=90.00 gamma=90.00
Space group Cmmm (No. 65)
Unique sites:
Fe1 0.000 0.000 0.000 x2
Fe2 0.000 0.167 0.000 x4
Fe3 0.000 0.352 0.000 x4
Fe4 0.241 0.000 0.000 x4
Fe5 0.245 0.173 0.000 x8
Pt1 0.000 0.500 0.500 x2
Pt2 0.118 0.255 0.500 x8
Pt3 0.123 0.085 0.500 x8
Rh1 0.147 0.416 0.500 x8

---

Entry 2:
Below is an optimized crystal structure of Fe2Pt3Rh2, with properties calculated at the GGA-PBE level.

* density: 14.58 g cm⁻³
* total magnetization: 7.96 μB/f.u.
* formation energy from the elements: -0.028 eV/atom

Unit cell a=7.185 b=4.569 c=7.040 alpha=90.00 beta=117.15 gamma=90.00
Space group C2/m (No. 12)
Unique sites:
Fe1 0.228 0.000 0.157 x4
Pt1 0.000 0.500 0.000 x2
Pt2 0.147 0.500 0.430 x4
Rh1 0.073 0.000 0.748 x4

---

Entry 3:
Below is an optimized crystal structure of FePt2Rh9, with properties calculated at the GGA-PBE level.

* density: 13.30 g cm⁻³
* total magnetization: 3.09 μB/f.u.
* formation energy from the elements: -0.032 eV/atom

Unit cell a=3.854 b=3.854 c=11.536 alpha=90.00 beta=90.00 gamma=90.00
Space group P4/mmm (No. 123)
Unique sites:
Fe1 0.000 0.000 0.000 x1
Pt1 0.000 0.000 0.333 x2
Rh1 0.000 0.500 0.161 x4
Rh2 0.000 0.500 0.500 x2
Rh3 0.500 0.500 0.000 x1
Rh4 0.500 0.500 0.331 x2

---

Entry 4:
Below is an optimized crystal structure of FePt4Rh, with properties calculated at the GGA-PBE level.

* density: 15.72 g cm⁻³
* total magnetization: 4.90 μB/f.u.
* formation energy from the elements: 0.247 eV/atom
* E above lowest polymorph: 0.3449 eV per atom

Unit cell a=7.348 b=7.348 c=7.348 alpha=90.00 beta=90.00 gamma=90.00
Space group F-43m (No. 216)
Unique sites:
Fe1 0.000 0.000 0.000 x4
Pt1 0.125 0.125 0.625 x16
Rh1 0.250 0.250 0.250 x4

---

Energy values, unit eV/atom, following the record order: -7.500 -7.135 -7.257 -6.416.